# 1
The following is a PBE calculation of crystalline Li3MgPb12 at its relaxed geometry, from Alexandria.

Cell: 4.758 4.758 20.119 Å, 90.00 90.00 90.00°
Space group P4/mmm (No. 123)
Unique sites:
Li: 0.000 0.000 0.000 (multiplicity 1)
Li: 0.000 0.000 0.246 (multiplicity 2)
Mg: 0.000 0.000 0.500 (multiplicity 1)
Pb: 0.000 0.500 0.124 (multiplicity 4)
Pb: 0.000 0.500 0.373 (multiplicity 4)
Pb: 0.500 0.500 0.000 (multiplicity 1)
Pb: 0.500 0.500 0.248 (multiplicity 2)
Pb: 0.500 0.500 0.500 (multiplicity 1)

Formation energy   -91 meV per atom


# 2
The following is a PBE calculation of crystalline Tl3Cu2Br9 at its relaxed geometry, from Alexandria.

Cell: 7.2450 7.2450 9.0542 Å, 90.00 90.00 120.00°
Space group P-3m1 (No. 164)
Unique sites:
Tl: 0.0000 0.0000 0.0000 (multiplicity 1)
Tl: 0.3333 0.6667 0.3556 (multiplicity 2)
Cu: 0.3333 0.6667 0.8298 (multiplicity 2)
Br: 0.0000 0.5000 0.0000 (multiplicity 3)
Br: 0.1691 0.3381 0.6793 (multiplicity 6)


# 3
The following is a PBE calculation of crystalline ErBiPt at its relaxed geometry, from Alexandria.

Cell: 6.709 6.709 6.709 Å, 90.00 90.00 90.00°
Space group F-43m (No. 216)
Unique sites:
Er: 0.000 0.000 0.000 (multiplicity 4)
Bi: 0.000 0.000 0.500 (multiplicity 4)
Pt: 0.250 0.250 0.250 (multiplicity 4)

Formation energy   -1036 meV per atom


# 4
The following is a PBE calculation of crystalline YAl2In at its relaxed geometry, from Alexandria.

Cell: 4.360 4.360 20.777 Å, 90.00 90.00 90.00°
Space group I-42d (No. 122)
Unique sites:
Y: 0.000 0.000 0.000 (multiplicity 4)
Al: 0.244 0.250 0.625 (multiplicity 8)
In: 0.000 0.000 0.500 (multiplicity 4)

Formation energy   65 meV per atom


# 5
The following is a PBE calculation of crystalline SO at its relaxed geometry, from Alexandria.

Cell: 8.458 8.458 2.987 Å, 90.00 90.00 90.00°
Space group P4_2/mnm (No. 136)
Unique sites:
S: 0.245 0.245 0.000 (multiplicity 4)
O: 0.173 0.173 0.500 (multiplicity 4)

Distance to the lowest polymorph of the same formula   0.725 eV/atom


# 6
The following is a PBE calculation of crystalline AcEuTe2 at its relaxed geometry, from Alexandria.

Cell: 4.038 4.038 8.074 Å, 90.00 90.00 90.00°
Space group P4/mmm (No. 123)
Unique sites:
Ac: 0.000 0.000 0.000 (multiplicity 1)
Eu: 0.000 0.000 0.500 (multiplicity 1)
Te: 0.500 0.500 0.251 (multiplicity 2)

Distance to the lowest polymorph of the same formula   0.000 eV/atom


# 7
The following is a PBE calculation of crystalline YTe3H at its relaxed geometry, from Alexandria.

Cell: 4.882 4.882 4.882 Å, 90.00 90.00 90.00°
Space group Pm-3m (No. 221)
Unique sites:
Y: 0.000 0.000 0.000 (multiplicity 1)
Te: 0.000 0.500 0.500 (multiplicity 3)
H: 0.500 0.500 0.500 (multiplicity 1)

Distance to the lowest polymorph of the same formula   0.000 eV/atom


# 8
The following is a PBE calculation of crystalline PmErTmCd at its relaxed geometry, from Alexandria.

Cell: 7.709 7.709 7.709 Å, 90.00 90.00 90.00°
Space group F-43m (No. 216)
Unique sites:
Pm: 0.000 0.000 0.000 (multiplicity 4)
Er: 0.000 0.000 0.500 (multiplicity 4)
Tm: 0.250 0.250 0.250 (multiplicity 4)
Cd: 0.250 0.250 0.750 (multiplicity 4)

Distance to the lowest polymorph of the same formula   0.118 eV/atom
Formation energy   -31 meV per atom


no.,total DFT energy (no corrections) (eV per atom)
1,-3.3313
2,-2.5858
3,-5.8643
4,-4.1069
5,-4.3798
6,-6.5983
7,-3.8520
8,-3.7065